Record 1
A plane-wave DFT calculation with GGA-PBEsol was carried out for CrO2 after structural relaxation.

Cell lengths 4.263, 4.817, 5.343 Å; angles 90.00, 90.00, 90.00 degrees
Last column: magnetic moment on the atom in μB.
Element x y z (fractional)
O  0.735  0.082  0.618  -0.07
O  0.765  0.082  0.118  -0.07
O  0.265  0.418  0.618  -0.07
O  0.765  0.582  0.882  -0.07
O  0.235  0.418  0.118  -0.07
O  0.235  0.918  0.882  -0.07
O  0.735  0.582  0.382  -0.07
O  0.265  0.918  0.382  -0.07
Cr  0.000  0.250  0.854  2.08
Cr  0.500  0.250  0.354  2.08
Cr  0.000  0.750  0.146  2.08
Cr  0.500  0.750  0.646  2.08

Values from the calculation:
VASP energy in eV per atom: -8.804



Record 2
A plane-wave DFT calculation with GGA-PBEsol was carried out for LiFeBO3 after structural relaxation.

Cell lengths 5.505, 6.221, 8.501 Å; angles 90.00, 90.00, 124.31 degrees
Last column: magnetic moment on the atom in μB.
Element x y z (fractional)
O  0.034  0.288  0.505  0.11
O  0.481  0.615  0.257  0.11
O  0.966  0.712  0.495  0.11
O  0.890  0.343  0.855  0.10
O  0.981  0.115  0.243  0.11
O  0.534  0.788  0.995  0.11
O  0.019  0.885  0.757  0.11
O  0.519  0.385  0.743  0.11
O  0.110  0.657  0.145  0.10
O  0.466  0.212  0.005  0.11
O  0.390  0.843  0.645  0.10
O  0.610  0.157  0.355  0.10
Fe  0.409  0.255  0.221  3.49
Fe  0.591  0.745  0.779  3.49
Fe  0.909  0.755  0.279  3.49
Fe  0.091  0.245  0.721  3.49
Li  0.189  0.835  0.943  0.00
Li  0.811  0.165  0.057  0.00
Li  0.689  0.335  0.557  0.00
Li  0.311  0.665  0.443  0.00
B  0.125  0.815  0.632  0.02
B  0.875  0.185  0.368  0.02
B  0.375  0.685  0.132  0.02
B  0.625  0.315  0.868  0.02

Values from the calculation:
VASP energy in eV per atom: -7.393



Record 3
A plane-wave DFT calculation with GGA-PBEsol was carried out for CaAlZn3 after structural relaxation.

Cell lengths 5.340, 5.340, 5.340 Å; angles 90.00, 90.00, 90.00 degrees
Element x y z (fractional)
Zn  0.500  0.000  0.000
Zn  0.000  0.500  0.000
Zn  0.000  0.000  0.500
Al  0.500  0.500  0.500
Ca  0.000  0.000  0.000

Values from the calculation:
Formation energy from the elements in meV/atom: 1090



Record 4
A plane-wave DFT calculation with GGA-PBEsol was carried out for SrMn3Cu after structural relaxation.

Cell lengths 4.688, 4.688, 4.688 Å; angles 90.00, 90.00, 90.00 degrees
Last column: magnetic moment on the atom in μB.
Element x y z (fractional)
Mn  0.000  0.000  0.500  3.77
Mn  0.500  0.000  0.000  3.77
Mn  0.000  0.500  0.000  3.77
Sr  0.500  0.500  0.500  -0.04
Cu  0.000  0.000  0.000  0.25

Values from the calculation:
Formation energy from the elements in meV/atom: 878



Record 5
A plane-wave DFT calculation with GGA-PBEsol was carried out for TaAl2Tc after structural relaxation.

Cell lengths 2.853, 2.853, 9.128 Å; angles 81.01, 81.01, 60.00 degrees
Element x y z (fractional)
Al  0.750  0.750  0.750
Al  0.995  0.995  0.015
Ta  0.502  0.502  0.493
Tc  0.253  0.253  0.242

Values from the calculation:
Formation energy from the elements in meV/atom: -10



Record 6
A plane-wave DFT calculation with GGA-PBEsol was carried out for HfInNiN2 after structural relaxation.

Cell lengths 3.887, 3.887, 4.615 Å; angles 90.00, 90.00, 90.00 degrees
Element x y z (fractional)
N  0.000  0.500  0.000
N  0.500  0.000  0.000
Ni  0.000  0.000  0.000
In  0.000  0.000  0.500
Hf  0.500  0.500  0.500

Values from the calculation:
VASP energy in eV per atom: -6.207



Record 7
A plane-wave DFT calculation with GGA-PBEsol was carried out for KSc2Te after structural relaxation.

Cell lengths 3.655, 5.231, 7.454 Å; angles 100.47, 90.00, 110.45 degrees
Last column: magnetic moment on the atom in μB.
Element x y z (fractional)
Te  0.492  0.984  0.398  -0.01
Sc  0.021  0.041  0.102  0.34
Sc  0.760  0.520  0.266  0.36
K  0.227  0.455  0.734  0.00

Values from the calculation:
VASP energy in eV per atom: -4.634



Record 8
A plane-wave DFT calculation with GGA-PBEsol was carried out for Li2Ni3SbO8 after structural relaxation.

Cell lengths 5.789, 5.789, 5.917 Å; angles 60.72, 60.72, 60.00 degrees
Last column: magnetic moment on the atom in μB.
Element x y z (fractional)
Ni  0.500  0.000  0.000  0.72
Ni  0.000  0.500  0.000  0.72
Ni  0.500  0.500  0.000  0.72
O  0.768  0.277  0.243  0.11
O  0.232  0.723  0.757  0.11
O  0.712  0.768  0.243  0.11
O  0.277  0.712  0.243  0.11
O  0.273  0.273  0.180  0.03
O  0.727  0.727  0.820  0.03
O  0.723  0.288  0.757  0.11
O  0.288  0.232  0.757  0.11
Sb  0.500  0.500  0.500  -0.01
Li  0.129  0.129  0.614  0.00
Li  0.871  0.871  0.386  0.00

Values from the calculation:
VASP energy in eV per atom: -6.202



Record 9
A plane-wave DFT calculation with GGA-PBEsol was carried out for ReSeN2Cl after structural relaxation.

Cell lengths 3.734, 3.734, 4.589 Å; angles 90.00, 90.00, 90.00 degrees
Last column: magnetic moment on the atom in μB.
Element x y z (fractional)
N  0.000  0.500  0.000  -0.05
N  0.500  0.000  0.000  -0.05
Se  0.000  0.000  0.500  -0.02
Cl  0.000  0.000  0.000  -0.01
Re  0.500  0.500  0.500  0.82

Values from the calculation:
VASP energy in eV per atom: -4.699



Record 10
A plane-wave DFT calculation with GGA-PBEsol was carried out for BaNa3Hf after structural relaxation.

Cell lengths 6.009, 6.009, 6.009 Å; angles 90.00, 90.00, 90.00 degrees
Last column: magnetic moment on the atom in μB.
Element x y z (fractional)
Ba  0.500  0.500  0.500  0.08
Na  0.000  0.000  0.500  0.04
Na  0.000  0.500  0.000  0.04
Na  0.500  0.000  0.000  0.04
Hf  0.000  0.000  0.000  1.50

Values from the calculation:
Formation energy from the elements in meV/atom: 1052



Record 11
A plane-wave DFT calculation with GGA-PBEsol was carried out for SrCuIr2 after structural relaxation.

Cell lengths 2.887, 4.762, 4.805 Å; angles 90.00, 90.00, 90.00 degrees
Element x y z (fractional)
Ir  0.000  0.000  0.000
Ir  0.500  0.500  0.000
Sr  0.500  0.000  0.500
Cu  0.000  0.500  0.500

Values from the calculation:
Formation energy from the elements in meV/atom: 418



Record 12
A plane-wave DFT calculation with GGA-PBEsol was carried out for AlCdAu2 after structural relaxation.

Cell lengths 3.327, 4.580, 4.984 Å; angles 103.42, 109.50, 90.00 degrees
Element x y z (fractional)
Cd  0.501  0.472  0.002
Au  0.990  0.957  0.981
Au  0.751  0.271  0.502
Al  0.258  0.800  0.516

Values from the calculation:
Formation energy from the elements in meV/atom: -222



no.,magnetic moment (μB per atom)
1,0.667
2,0.667
3,0.000
4,2.377
5,0.000
6,0.002
7,0.274
8,0.216
9,0.153
10,0.730
11,0.000
12,0.000